Here is a relaxed NiAs2C crystal from Alexandria. Energies are from PBE.

Cell: 5.177 5.177 5.839 Å, 63.68 63.68 90.00°
Atoms (fractional coordinates):
Ni  0.750  0.250  0.500
Ni  0.000  0.000  0.000
C  0.500  0.500  0.000
C  0.250  0.750  0.500
As  0.163  0.625  0.250
As  0.587  0.125  0.250
As  0.875  0.837  0.750
As  0.375  0.413  0.750

Summary:
SG ... No. 122
ΔH_f (0 K) ... 1.76 eV/f.u.
DOS(E_F) ... 0.98 states/eV/cell